Entry from the Alexandria database: a geometry-optimized MnAuSe structure (PBE).

Unit cell a=6.003 b=6.003 c=6.003 alpha=149.72 beta=149.72 gamma=43.36
Fractional positions:
Mn: 0.000 0.000 0.000
Au: 0.659 0.659 0.000
Se: 0.376 0.376 0.000

Summary:
- formation energy without anion corrections (eV per atom) = 0.02
- final energy (eV per atom) = -5.2921
- symmetry = I4mm (107)
- ΔE to the lowest computed polymorph (kJ/mol of formula units) = 30

Entry from the Alexandria database: a geometry-optimized Mn4AuSe structure (PBE).

Unit cell a=4.952 b=4.952 c=4.952 alpha=60.00 beta=60.00 gamma=60.00
Fractional positions:
Mn: 0.125 0.125 0.125
Mn: 0.125 0.125 0.625
Mn: 0.125 0.625 0.125
Mn: 0.625 0.125 0.125
Au: 0.500 0.500 0.500
Se: 0.750 0.750 0.750

Summary:
- formation energy without anion corrections (eV per atom) = 0.50
- final energy (eV per atom) = -6.7395
- symmetry = F-43m (216)

Entry from the Alexandria database: a geometry-optimized MnAuSe4 structure (PBE).

Unit cell a=5.673 b=5.673 c=5.673 alpha=60.00 beta=60.00 gamma=60.00
Fractional positions:
Mn: 0.000 0.000 0.000
Au: 0.250 0.250 0.250
Se: 0.127 0.624 0.624
Se: 0.624 0.127 0.624
Se: 0.624 0.624 0.127
Se: 0.624 0.624 0.624

Summary:
- formation energy without anion corrections (eV per atom) = 0.67
- final energy (eV per atom) = -3.7253
- symmetry = F-43m (216)

Entry from the Alexandria database: a geometry-optimized MnAuSe structure (PBE).

Unit cell a=3.569 b=3.569 c=5.361 alpha=90.00 beta=90.00 gamma=120.00
Fractional positions:
Mn: 0.000 0.000 0.000
Au: 0.333 0.667 0.680
Se: 0.667 0.333 0.275

Summary:
- formation energy without anion corrections (eV per atom) = -0.09
- final energy (eV per atom) = -5.3969
- symmetry = P3m1 (156)
- ΔE to the lowest computed polymorph (kJ/mol of formula units) = 0

Entry from the Alexandria database: a geometry-optimized Mn2TlAuSe structure (PBE).

Unit cell a=4.641 b=4.641 c=6.087 alpha=90.00 beta=90.00 gamma=90.00
Fractional positions:
Mn: 0.000 0.500 0.000
Mn: 0.500 0.000 0.000
Tl: 0.000 0.000 0.500
Au: 0.500 0.500 0.500
Se: 0.000 0.000 0.000

Summary:
- formation energy without anion corrections (eV per atom) = 0.51
- final energy (eV per atom) = -4.9821
- symmetry = P4/mmm (123)

Entry from the Alexandria database: a geometry-optimized Mn2SiAu structure (PBE).

Unit cell a=4.691 b=4.691 c=4.691 alpha=132.94 beta=130.64 gamma=70.58
Fractional positions:
Mn: 0.244 0.244 0.000
Mn: 0.756 0.756 0.000
Si: 0.000 0.500 0.500
Au: 0.500 0.000 0.500

Summary:
- formation energy without anion corrections (eV per atom) = 0.00
- final energy (eV per atom) = -6.7586
- symmetry = Immm (71)

Entry from the Alexandria database: a geometry-optimized MnSiAu2 structure (PBE).

Unit cell a=4.831 b=4.831 c=4.831 alpha=129.38 beta=129.38 gamma=74.39
Fractional positions:
Mn: 0.000 0.000 0.000
Si: 0.500 0.500 0.000
Au: 0.250 0.750 0.500
Au: 0.750 0.250 0.500

Summary:
- formation energy without anion corrections (eV per atom) = 0.07
- final energy (eV per atom) = -5.2129
- symmetry = I4/mmm (139)

Entry from the Alexandria database: a geometry-optimized Mn2SiAu structure (PBE).

Unit cell a=2.771 b=3.583 c=5.589 alpha=90.00 beta=90.00 gamma=90.00
Fractional positions:
Mn: 0.000 0.000 0.220
Mn: 0.000 0.000 0.780
Si: 0.500 0.500 0.000
Au: 0.500 0.500 0.500

Summary:
- formation energy without anion corrections (eV per atom) = -0.02
- final energy (eV per atom) = -6.7818
- symmetry = Pmmm (47)

Calculated density / g/cm³: 10.0, 9.6, 7.3, 9.3, 7.5, 9.9, 12.1, 10.0